{"formula": "Ba2HPb", "functional": "PBE", "state": "optimized geometry", "lattice": [[4.048, 0.000, 0.000], [2.024, 3.506, 0.000], [2.024, 1.169, 10.105]], "species": ["Pb", "H", "Ba", "Ba"], "frac_coords": [[0.000, 0.000, 0.000], [0.500, 0.500, 0.500], [0.113, 0.113, 0.660], [0.887, 0.887, 0.340]], "relative_energy_ev_per_atom": 0.423, "crystal_system": "trigonal"}


{"formula": "BSbSN2", "functional": "PBE", "state": "optimized geometry", "lattice": [[3.570, 0.000, 0.000], [0.000, 3.570, 0.000], [0.000, 0.000, 4.512]], "species": ["Sb", "S", "B", "N", "N"], "frac_coords": [[0.500, 0.500, 0.500], [0.000, 0.000, 0.500], [0.000, 0.000, 0.000], [0.000, 0.500, 0.000], [0.500, 0.000, 0.000]], "relative_energy_ev_per_atom": 0.000, "crystal_system": "tetragonal", "formation_energy_uncorrected_ev_per_atom": 1.318}


{"formula": "AgRhCl6", "functional": "PBE", "state": "optimized geometry", "lattice": [[-5.185, 1.766, -2.235], [-0.313, -5.341, -2.524], [-2.092, -1.680, 6.051]], "species": ["Ag", "Rh", "Cl", "Cl", "Cl", "Cl", "Cl", "Cl"], "frac_coords": [[0.000, 0.000, 0.500], [0.000, 0.000, 0.000], [0.274, 0.902, 0.263], [0.902, 0.274, 0.263], [0.098, 0.726, 0.737], [0.726, 0.098, 0.737], [0.267, 0.267, 0.922], [0.733, 0.733, 0.078]], "relative_energy_ev_per_atom": 0.000, "crystal_system": "monoclinic", "formation_energy_uncorrected_ev_per_atom": -0.376}


{"formula": "PmPrTlSb", "functional": "PBE", "state": "optimized geometry", "lattice": [[-0.235, -5.509, -0.016], [3.794, -2.913, -2.743], [3.762, -2.928, 2.771]], "species": ["Pr", "Sb", "Tl", "Pm"], "frac_coords": [[0.750, 0.750, 0.750], [0.500, 0.500, 0.500], [0.000, 0.000, 0.000], [0.250, 0.250, 0.250]], "crystal_system": "cubic", "formation_energy_uncorrected_ev_per_atom": -0.567}


{"formula": "Hf5AlGa8", "functional": "PBE", "state": "optimized geometry", "lattice": [[7.001, 0.140, -0.240], [-2.237, 6.635, 0.240], [-2.526, -3.286, 5.649]], "species": ["Hf", "Hf", "Hf", "Hf", "Hf", "Al", "Ga", "Ga", "Ga", "Ga", "Ga", "Ga", "Ga", "Ga"], "frac_coords": [[0.970, 0.407, 0.153], [0.847, 0.817, 0.254], [0.746, 0.593, 0.563], [0.500, 0.000, 0.500], [0.437, 0.183, 0.030], [0.250, 0.500, 0.750], [0.130, 0.781, 0.027], [0.973, 0.103, 0.754], [0.811, 0.210, 0.393], [0.607, 0.418, 0.818], [0.399, 0.582, 0.189], [0.652, 0.897, 0.870], [0.246, 0.219, 0.348], [0.182, 0.790, 0.601]], "formation_enthalpy_0k_ev_per_atom": -0.19, "crystal_system": "tetragonal"}


{"formula": "Nd2CdNi", "functional": "PBE", "state": "optimized geometry", "lattice": [[3.690, 0.002, 0.000], [-1.842, 6.332, 0.000], [0.000, 0.000, 8.604]], "species": ["Nd", "Nd", "Nd", "Nd", "Cd", "Cd", "Ni", "Ni"], "frac_coords": [[0.365, 0.731, 0.555], [0.635, 0.269, 0.445], [0.365, 0.731, 0.945], [0.635, 0.269, 0.055], [0.935, 0.869, 0.250], [0.065, 0.131, 0.750], [0.743, 0.490, 0.750], [0.257, 0.510, 0.250]], "relative_energy_ev_per_atom": 0.063, "formation_enthalpy_0k_ev_per_atom": -0.21, "crystal_system": "monoclinic"}


no.,N(E_F) (states/eV/cell)
1,3.51
2,2.19
3,8.10
4,4.86
5,6.40
6,6.29